This record from the Open Quantum Materials Database describes a relaxed structure of Na2TcPdSe6. The functional is PBE.

As for the total energy: -4.3062 eV per atom.

The structure belongs to space group P2_1/c (No. 14); the cell edges are 12.262, 12.451 and 6.511 Å and the angles 90.00°, 94.23° and 90.00°. The distinct sites, in fractional coordinates, are Na at (0.064, 0.147, 0.211), Na at (0.432, 0.145, 0.282), Tc at (0.253, 0.001, 0.743), Pd at (0.250, 0.684, 0.743), Se at (0.099, 0.116, 0.683), Se at (0.140, 0.550, 0.533), Se at (0.144, 0.665, 0.059), Se at (0.355, 0.663, 0.427), Se at (0.365, 0.554, 0.953) and Se at (0.399, 0.122, 0.814).